(1)
FeCo2Ni | PBE | relaxed

Lattice parameters (Å, degrees): 8.3777 8.3777 8.3777 17.14 17.14 17.14
Last column: nearest neighbours and their distance in Å.
Fractional coordinates of all 4 atoms:
Co  0.0009  0.0009  0.0009  6 Co 2.50, 3 Ni 2.50, 3 Fe 2.53
Co  0.4991  0.4991  0.4991  6 Co 2.50, 3 Ni 2.50, 3 Fe 2.53
Fe  0.2500  0.2500  0.2500  6 Fe 2.50, 6 Co 2.53
Ni  0.7500  0.7500  0.7500  6 Ni 2.50, 6 Co 2.50

## Properties
**Relative energy among the computed polymorphs**: 40 meV/atom
**Formation energy from the elements**: 0.015 eV/atom
**Calculated volume**: 11.13 A^3/atom

(2)
FeCoNi | PBE | relaxed

Lattice parameters (Å, degrees): 4.0028 4.0028 2.4378 90.00 90.00 120.00
Last column: nearest neighbours and their distance in Å.
Fractional coordinates of all 3 atoms:
Ni  0.6667  0.3333  0.6387  2 Ni 2.44, 3 Fe 2.44, 6 Co 2.52-2.72
Co  0.0000  0.0000  0.0488  3 Fe 2.40, 2 Co 2.44, 3 Ni 2.52
Fe  0.3333  0.6667  0.3125  3 Co 2.40, 2 Fe 2.44, 3 Ni 2.44

## Properties
**Relative energy among the computed polymorphs**: 27 meV/atom
**Formation energy from the elements**: 0.029 eV/atom
**Calculated volume**: 11.28 A^3/atom

Number 1 is which compound?
FeCo2Ni

Which of these has the highest formation energy from the elements?
FeCoNi